# MnTc2Os

A relaxed MnTc2Os crystal (GGA-PBE, Alexandria).

Lattice parameters (Å, degrees): 3.6616 3.6616 9.4995 78.89 78.89 90.00
Closest atoms and distances in Å follow each position.
Element x y z (fractional)
Mn1 0.5000 0.5000 0.0000  4 Os 2.59, 4 Tc 2.59
Mn2 0.2500 0.7500 0.5000  4 Os 2.59, 4 Tc 2.59
Os1 0.0000 0.0000 0.0000  4 Mn 2.59, 4 Tc 2.66
Os2 0.7500 0.2500 0.5000  4 Mn 2.59, 4 Tc 2.66
Tc1 0.5978 0.1250 0.2500  4 Tc 2.45-2.73, 2 Mn 2.59, 2 Os 2.66
Tc2 0.1522 0.6250 0.2500  4 Tc 2.45-2.73, 2 Mn 2.59, 2 Os 2.66
Tc3 0.3750 0.4022 0.7500  4 Tc 2.45-2.73, 2 Mn 2.59, 2 Os 2.66
Tc4 0.8750 0.8478 0.7500  4 Tc 2.45-2.73, 2 Mn 2.59, 2 Os 2.66

ΔE to the lowest computed polymorph in eV/atom: 0.6296
Space-group type: I-42d
Volume in A^3/atom: 15.32


# Sm12Dy5Tl2

A relaxed Sm12Dy5Tl2 crystal (GGA-PBE, Alexandria).

Lattice parameters (Å, degrees): 9.3935 9.0505 8.5216 92.44 90.00 121.26
Closest atoms and distances in Å follow each position.
Element x y z (fractional)
Sm1 0.9164 0.8329 0.1158  5 Sm 3.33-3.57, 2 Tl 3.40, 3 Dy 3.46-3.65
Sm2 0.0344 0.6992 0.7650  1 Tl 3.24, 4 Sm 3.40-3.57, 1 Dy 3.61
Sm3 0.6648 0.6992 0.7650  1 Tl 3.24, 4 Sm 3.40-3.57, 1 Dy 3.61
Sm4 0.1818 0.7528 0.3441  5 Sm 3.33-3.66, 4 Dy 3.40-3.66, 1 Tl 3.58
Sm5 0.5710 0.7528 0.3441  5 Sm 3.33-3.66, 4 Dy 3.40-3.66, 1 Tl 3.58
Sm6 0.4446 0.8891 0.6811  2 Tl 3.30, 7 Sm 3.33-3.61, 2 Dy 3.34-3.43
Sm7 0.5554 0.1109 0.3189  2 Tl 3.30, 7 Sm 3.33-3.61, 2 Dy 3.34-3.43
Sm8 0.8182 0.2472 0.6559  5 Sm 3.33-3.66, 4 Dy 3.40-3.66, 1 Tl 3.58
Sm9 0.4290 0.2472 0.6559  5 Sm 3.33-3.66, 4 Dy 3.40-3.66, 1 Tl 3.58
Sm10 0.9656 0.3008 0.2350  1 Tl 3.24, 4 Sm 3.40-3.57, 1 Dy 3.61
Sm11 0.3352 0.3008 0.2350  1 Tl 3.24, 4 Sm 3.40-3.57, 1 Dy 3.61
Sm12 0.0836 0.1671 0.8842  5 Sm 3.33-3.57, 2 Tl 3.40, 3 Dy 3.46-3.65
Dy1 0.2328 0.4657 0.5850  8 Sm 3.34-3.63, 2 Dy 3.64-3.66
Dy2 0.3143 0.6287 0.9952  2 Tl 3.35, 6 Sm 3.43-3.65, 1 Dy 3.66
Dy3 0.0000 0.0000 0.5000  10 Sm 3.46-3.75, 2 Dy 3.64
Dy4 0.6857 0.3713 0.0048  2 Tl 3.35, 6 Sm 3.43-3.65, 1 Dy 3.66
Dy5 0.7672 0.5343 0.4150  8 Sm 3.34-3.63, 2 Dy 3.64-3.66
Tl1 0.6844 0.0000 0.0000  8 Sm 3.24-3.58, 2 Dy 3.35, 1 Tl 3.46
Tl2 0.3156 0.0000 0.0000  8 Sm 3.24-3.58, 2 Dy 3.35, 1 Tl 3.46

Space-group type: C2/m
Volume in A^3/atom: 32.55


Number 1: energy of formation 0.69 eV/atom, E_tot -9.5957 eV per atom. Number 2: energy of formation 0.02 eV/atom, E_tot -4.4230 eV per atom.